No. 1
## Er8GeP3S4 (PBE)

Data for an optimized crystal structure of Er8GeP3S4.

Calculated values
Density (g cm⁻³): 7.79
Density of states at the Fermi level (states/eV/atom): 0.2263
Space-group type: No. 166
Formation energy from raw total energies (kJ/mol of formula units): -2711

Cell: 7.887 7.887 7.887 Å, 60.10 60.10 60.10°
Fractional positions:
Er 0.246 0.749 0.749
Er 0.247 0.247 0.247
Er 0.251 0.251 0.754
Er 0.251 0.754 0.251
Er 0.749 0.246 0.749
Er 0.749 0.749 0.246
Er 0.753 0.753 0.753
Er 0.754 0.251 0.251
Ge 0.500 0.500 0.500
P 0.000 0.000 0.500
P 0.000 0.500 0.000
P 0.500 0.000 0.000
S 0.000 0.000 0.000
S 0.000 0.500 0.500
S 0.500 0.000 0.500
S 0.500 0.500 0.000



No. 2
## Er8Ge3PSe4 (PBE)

Data for an optimized crystal structure of Er8Ge3PSe4.

Calculated values
Density (g cm⁻³): 8.23
Density of states at the Fermi level (states/eV/atom): 0.2087
Space-group type: No. 166
Formation energy from raw total energies (kJ/mol of formula units): -2272

Cell: 8.173 8.173 8.173 Å, 59.74 59.74 59.74°
Fractional positions:
Er 0.245 0.744 0.744
Er 0.246 0.246 0.246
Er 0.256 0.256 0.755
Er 0.256 0.755 0.256
Er 0.744 0.245 0.744
Er 0.744 0.744 0.245
Er 0.754 0.754 0.754
Er 0.755 0.256 0.256
Ge 0.000 0.000 0.500
Ge 0.000 0.500 0.000
Ge 0.500 0.000 0.000
P 0.500 0.500 0.500
Se 0.000 0.000 0.000
Se 0.000 0.500 0.500
Se 0.500 0.000 0.500
Se 0.500 0.500 0.000



No. 3
## Er4GePSe2 (PBE)

Data for an optimized crystal structure of Er4GePSe2.

Calculated values
Density (g cm⁻³): 8.20
Density of states at the Fermi level (states/eV/atom): 0.1581
Space-group type: No. 10
Formation energy from raw total energies (kJ/mol of formula units): -1215

Cell: 7.002 4.046 7.047 Å, 90.00 109.31 90.00°
Fractional positions:
Er 0.242 0.000 0.231
Er 0.254 0.500 0.766
Er 0.746 0.500 0.234
Er 0.758 0.000 0.769
Ge 0.500 0.000 0.000
P 0.000 0.500 0.000
Se 0.000 0.000 0.500
Se 0.500 0.500 0.500



No. 4
## Er6Ge2PSe3 (PBE)

Data for an optimized crystal structure of Er6Ge2PSe3.

Calculated values
Density (g cm⁻³): 8.22
Density of states at the Fermi level (states/eV/atom): 0.1608
Space-group type: No. 12
Formation energy from raw total energies (kJ/mol of formula units): -1743

Cell: 9.105 9.105 8.157 Å, 103.18 103.18 25.78°
Fractional positions:
Er 0.004 0.004 0.238
Er 0.331 0.331 0.425
Er 0.338 0.338 0.910
Er 0.662 0.662 0.090
Er 0.669 0.669 0.575
Er 0.996 0.996 0.762
Ge 0.166 0.166 0.332
Ge 0.834 0.834 0.668
P 0.500 0.500 0.000
Se 0.166 0.166 0.834
Se 0.500 0.500 0.500
Se 0.834 0.834 0.166



What is the density in the first record? 7.79 g cm⁻³



Which of these has the lowest formation energy from raw total energies? Er8GeP3S4